1.
Below is an optimized crystal structure of La2SbPb2, with properties calculated at the PBE level.

Cell and atoms, written as POSCAR:
```
La2SbPb2
1.0
8.4839 0.0000 0.0000
0.0000 8.4839 0.0000
0.0000 0.0000 4.8517
Pb La Sb
4 4 2
direct
0.1303 0.6303 0.5000 Pb
0.3697 0.1303 0.5000 Pb
0.6303 0.8697 0.5000 Pb
0.8697 0.3697 0.5000 Pb
0.8275 0.6725 0.0000 La
0.1725 0.3275 0.0000 La
0.3275 0.8275 0.0000 La
0.6725 0.1725 0.0000 La
0.5000 0.5000 0.0000 Sb
0.0000 0.0000 0.0000 Sb
```

Properties
Raw formation energy: -274 kJ/mol of formula units
Energy above the lowest structure with this stoichiometry: 0.0104 eV per atom

=====

2.
Below is an optimized crystal structure of La7Sb2Pb2, with properties calculated at the PBE level.

Cell and atoms, written as POSCAR:
```
La7Sb2Pb2
1.0
-6.8303 3.1392 0.7032
-0.4879 -2.5656 6.7942
4.7892 5.3414 2.3527
La Pb Sb
7 2 2
direct
0.4998 0.2540 0.5002 La
0.0002 0.7104 0.4997 La
0.5002 0.7460 0.4998 La
0.9998 0.2896 0.5003 La
0.4997 0.2896 0.0002 La
0.5003 0.7104 0.9998 La
0.0000 0.0000 0.0000 La
0.8226 0.5000 0.8226 Pb
0.1774 0.5000 0.1774 Pb
0.7290 0.0000 0.2710 Sb
0.2710 0.0000 0.7290 Sb
```

Properties
Raw formation energy: -527 kJ/mol of formula units

=====

3.
Below is an optimized crystal structure of La5Sb4Pb, with properties calculated at the PBE level.

Cell and atoms, written as POSCAR:
```
La5Sb4Pb
1.0
-2.5760 2.4713 5.4901
-5.8327 -4.5032 3.1959
3.6934 -2.3971 6.7176
Sb La Pb
4 5 1
direct
0.2010 0.1994 0.4006 Sb
0.8009 0.8006 0.5994 Sb
0.6015 0.5994 0.1994 Sb
0.4003 0.4006 0.8006 Sb
0.6959 0.2026 0.4075 La
0.3059 0.7974 0.5925 La
0.8985 0.4075 0.7974 La
0.1034 0.5925 0.2026 La
0.5015 0.0000 0.0000 La
0.0015 0.0000 0.0000 Pb
```

Properties
Raw formation energy: -1062 kJ/mol of formula units
Energy above the lowest structure with this stoichiometry: 0.0046 eV per atom